(1)
This record from the Alexandria database describes Ge2RuBr at its PBEsol-relaxed geometry. The functional is meta-GGA SCAN.

The structure in extended XYZ format:
```
4
Lattice="0.000 3.272 3.272 3.272 0.000 3.272 3.272 3.272 0.000" Properties=species:S:1:pos:R:3 pbc="T T T"
Ge 1.636 1.636 1.636
Ge 4.907 4.907 4.907
Ru 0.000 0.000 0.000
Br 3.272 3.272 3.272
```

Values from the calculation:
total magnetization	1.5	μB/cell
space-group type	Fm-3m, No. 225
density	7.74	g/cm3
DFT total energy	-22.1993	eV/atom

***

(2)
This record from the Alexandria database describes Mn2FeSb at its PBEsol-relaxed geometry. The functional is meta-GGA SCAN.

The structure in extended XYZ format:
```
4
Lattice="0.000 2.941 2.941 2.941 0.000 2.941 2.941 2.941 0.000" Properties=species:S:1:pos:R:3 pbc="T T T"
Mn 0.000 0.000 0.000
Mn 1.470 1.470 1.470
Fe 4.411 4.411 4.411
Sb 2.941 2.941 2.941
```

Values from the calculation:
total magnetization	2.9	μB/cell
space-group type	F-43m, No. 216
density	9.39	g/cm3
DFT total energy	-23.0117	eV/atom

***

Which value of density does entry 1 give? 7.74 g/cm3